(P)
Entry from the Alexandria database: La2ErOs after structural relaxation (PBE-GGA).

The structure belongs to space group Pnma (No. 62); the cell edges are 7.466, 9.736 and 6.423 Å and the angles 90.00°, 90.00° and 90.00°. The distinct sites, in fractional coordinates, are La at (0.176, 0.066, 0.172), Er at (0.045, 0.250, 0.649) and Os at (0.116, 0.750, 0.956).

Its crystal system is orthorhombic.

(Q)
Entry from the Alexandria database: La2ErOs after structural relaxation (PBE-GGA).

The structure belongs to space group R-3m (No. 166, hexagonal axes); the cell edges are 3.9244, 3.9244 and 31.6115 Å and the angles 90.00°, 90.00° and 120.00°. The distinct sites, in fractional coordinates, are La at (0.0000, 0.0000, 0.1138), Er at (0.0000, 0.0000, 0.0000) and Os at (0.0000, 0.0000, 0.5000).

Its crystal system is trigonal.

Stability, lowest: (Q)

(P)
Entry from the Alexandria database: LaErP2 after structural relaxation (PBE-GGA).

The structure belongs to space group R3m (No. 160, hexagonal axes); the cell edges are 4.0513, 4.0513 and 21.1038 Å and the angles 90.00°, 90.00° and 120.00°. The distinct sites, in fractional coordinates, are La at (0.0000, 0.0000, 0.0000), Er at (0.0000, 0.0000, 0.8289), P at (0.0000, 0.0000, 0.2410) and P at (0.0000, 0.0000, 0.4199).

Its crystal system is trigonal.

(Q)
Entry from the Alexandria database: LaErP2 after structural relaxation (PBE-GGA).

The structure belongs to space group R-3m (No. 166, hexagonal axes); the cell edges are 4.1244, 4.1244 and 20.1731 Å and the angles 90.00°, 90.00° and 120.00°. The distinct sites, in fractional coordinates, are La at (0.0000, 0.0000, 0.0000), Er at (0.0000, 0.0000, 0.5000) and P at (0.0000, 0.0000, 0.2446).

Its crystal system is trigonal.

Stability, lowest: (P)

(P)
Entry from the Alexandria database: LaErPa after structural relaxation (PBE-GGA).

The structure belongs to space group I4mm (No. 107); the cell edges are 3.411, 3.411 and 15.499 Å and the angles 90.00°, 90.00° and 90.00°. The distinct sites, in fractional coordinates, are La at (0.000, 0.000, 0.000), Er at (0.000, 0.000, 0.694) and Pa at (0.000, 0.000, 0.344).

Its crystal system is tetragonal.

(Q)
Entry from the Alexandria database: LaErPa after structural relaxation (PBE-GGA).

The structure belongs to space group P3m1 (No. 156); the cell edges are 3.4421, 3.4421 and 8.6946 Å and the angles 90.00°, 90.00° and 120.00°. The distinct sites, in fractional coordinates, are La at (0.0000, 0.0000, 0.0000), Er at (0.3333, 0.6667, 0.6324) and Pa at (0.6667, 0.3333, 0.3217).

Its crystal system is trigonal.

Stability, lowest: (P)

(P)
Entry from the Alexandria database: LaEr2Pb after structural relaxation (PBE-GGA).

The structure belongs to space group R-3m (No. 166, hexagonal axes); the cell edges are 3.4852, 3.4852 and 36.0797 Å and the angles 90.00°, 90.00° and 120.00°. The distinct sites, in fractional coordinates, are La at (0.0000, 0.0000, 0.0000), Er at (0.0000, 0.0000, 0.0941) and Pb at (0.0000, 0.0000, 0.5000).

Its crystal system is trigonal.

(Q)
Entry from the Alexandria database: LaEr2Pb after structural relaxation (PBE-GGA).

The structure belongs to space group P4/mmm (No. 123); the cell edges are 4.961, 4.961 and 4.827 Å and the angles 90.00°, 90.00° and 90.00°. The distinct sites, in fractional coordinates, are La at (0.000, 0.000, 0.000), Er at (0.000, 0.500, 0.500) and Pb at (0.500, 0.500, 0.000).

Its crystal system is tetragonal.

(R)
Entry from the Alexandria database: LaEr2Pb after structural relaxation (PBE-GGA).

The structure belongs to space group P2_1/m (No. 11); the cell edges are 4.737, 4.815 and 11.582 Å and the angles 90.00°, 101.66° and 90.00°. The distinct sites, in fractional coordinates, are La at (0.189, 0.250, 0.383), Er at (0.053, 0.750, 0.108), Er at (0.440, 0.750, 0.878) and Pb at (0.343, 0.250, 0.680).

Its crystal system is monoclinic.

Stability, lowest: (P)

(P)
Entry from the Alexandria database: LaErPd4 after structural relaxation (PBE-GGA).

The structure belongs to space group F-43m (No. 216); the cell edges are 7.778, 7.778 and 7.778 Å and the angles 90.00°, 90.00° and 90.00°. The distinct sites, in fractional coordinates, are La at (0.000, 0.000, 0.000), Er at (0.250, 0.250, 0.250) and Pd at (0.124, 0.124, 0.624).

Its crystal system is cubic.

(Q)
Entry from the Alexandria database: LaErPd4 after structural relaxation (PBE-GGA).

The structure belongs to space group Cmcm (No. 63); the cell edges are 4.241, 19.932 and 5.779 Å and the angles 90.00°, 90.00° and 90.00°. The distinct sites, in fractional coordinates, are La at (0.000, 0.220, 0.250), Er at (0.000, 0.074, 0.750), Pd at (0.000, 0.070, 0.250), Pd at (0.000, 0.357, 0.504) and Pd at (0.000, 0.500, 0.000).

Its crystal system is orthorhombic.

Stability, lowest: (P)

(P)
Entry from the Alexandria database: LaErPdPt after structural relaxation (PBE-GGA).

The structure belongs to space group Amm2 (No. 38); the cell edges are 4.570, 3.829 and 10.805 Å and the angles 90.00°, 90.00° and 90.00°. The distinct sites, in fractional coordinates, are La at (0.000, 0.000, 0.000), Er at (0.500, 0.000, 0.727), Pd at (0.500, 0.000, 0.448) and Pt at (0.000, 0.000, 0.271).

Its crystal system is orthorhombic.

(Q)
Entry from the Alexandria database: LaErPdPt after structural relaxation (PBE-GGA).

The structure belongs to space group F-43m (No. 216); the cell edges are 7.153, 7.153 and 7.153 Å and the angles 90.00°, 90.00° and 90.00°. The distinct sites, in fractional coordinates, are La at (0.000, 0.000, 0.000), Er at (0.000, 0.000, 0.500), Pd at (0.250, 0.250, 0.250) and Pt at (0.250, 0.250, 0.750).

Its crystal system is cubic.

Stability, lowest: (Q)